Compound: Ge2Mo3Pt4
Source: OQMD via LeMat-Bulk
Functional: PBE
Structure: optimized geometry

a b c (Å): 7.587 7.587 2.789
angles (deg): 90.00 90.00 120.00
Fractional coordinates of all 9 atoms:
Ge (0.000, 0.000, 0.000)
Ge (0.333, 0.667, 0.500)
Mo (0.369, 0.362, 0.000)
Mo (0.638, 0.007, 0.000)
Mo (0.993, 0.631, 0.000)
Pt (0.005, 0.304, 0.500)
Pt (0.299, 0.995, 0.500)
Pt (0.667, 0.333, 0.500)
Pt (0.696, 0.701, 0.500)

Results
As for the calculated density: 14.49 g/cm³. Its symmetry is P-6.

Compound: SiGe2MoPt2
Source: OQMD via LeMat-Bulk
Functional: PBE
Structure: optimized geometry

a b c (Å): 3.572 9.474 5.625
angles (deg): 90.00 90.00 90.00
Fractional coordinates of all 12 atoms:
Si (0.000, 0.063, 0.000)
Si (0.000, 0.937, 0.500)
Ge (0.000, 0.273, 0.488)
Ge (0.000, 0.727, 0.988)
Ge (0.500, 0.378, 0.841)
Ge (0.500, 0.622, 0.341)
Mo (0.500, 0.101, 0.675)
Mo (0.500, 0.899, 0.175)
Pt (0.000, 0.462, 0.170)
Pt (0.000, 0.538, 0.670)
Pt (0.500, 0.205, 0.171)
Pt (0.500, 0.795, 0.671)

Results
As for the calculated density: 11.51 g/cm³. Its symmetry is Pmc2_1.

Compound: SiGe2MoPt2
Source: OQMD via LeMat-Bulk
Functional: PBE
Structure: optimized geometry

a b c (Å): 3.609 9.387 5.627
angles (deg): 90.00 90.00 90.00
Fractional coordinates of all 12 atoms:
Si (0.000, 0.122, 0.000)
Si (0.000, 0.878, 0.500)
Ge (0.500, 0.224, 0.652)
Ge (0.500, 0.436, 0.158)
Ge (0.500, 0.564, 0.658)
Ge (0.500, 0.776, 0.152)
Mo (0.000, 0.394, 0.835)
Mo (0.000, 0.606, 0.335)
Pt (0.000, 0.282, 0.332)
Pt (0.000, 0.718, 0.832)
Pt (0.500, 0.030, 0.337)
Pt (0.500, 0.970, 0.837)

Results
As for the calculated density: 11.49 g/cm³. Its symmetry is Pmc2_1.

Compound: Si2GeMoPt2
Source: OQMD via LeMat-Bulk
Functional: PBE
Structure: optimized geometry

a b c (Å): 3.574 9.278 5.572
angles (deg): 90.00 90.00 90.00
Fractional coordinates of all 12 atoms:
Si (0.000, 0.126, 0.000)
Si (0.000, 0.874, 0.500)
Si (0.500, 0.220, 0.659)
Si (0.500, 0.780, 0.159)
Ge (0.500, 0.435, 0.168)
Ge (0.500, 0.565, 0.668)
Mo (0.000, 0.391, 0.842)
Mo (0.000, 0.609, 0.342)
Pt (0.000, 0.280, 0.350)
Pt (0.000, 0.720, 0.850)
Pt (0.500, 0.028, 0.345)
Pt (0.500, 0.972, 0.845)

Results
As for the calculated density: 11.05 g/cm³. Its symmetry is Pmc2_1.

Compound: Si2GeMoPt2
Source: OQMD via LeMat-Bulk
Functional: PBE
Structure: optimized geometry

a b c (Å): 3.532 9.367 5.588
angles (deg): 90.00 90.00 90.00
Fractional coordinates of all 12 atoms:
Si (0.000, 0.063, 0.000)
Si (0.000, 0.937, 0.500)
Si (0.500, 0.378, 0.840)
Si (0.500, 0.622, 0.340)
Ge (0.000, 0.275, 0.493)
Ge (0.000, 0.725, 0.993)
Mo (0.500, 0.102, 0.675)
Mo (0.500, 0.898, 0.175)
Pt (0.000, 0.468, 0.172)
Pt (0.000, 0.532, 0.672)
Pt (0.500, 0.211, 0.165)
Pt (0.500, 0.789, 0.665)

Results
As for the calculated density: 11.05 g/cm³. Its symmetry is Pmc2_1.

Compound: SiGe2MoPt2
Source: OQMD via LeMat-Bulk
Functional: PBE
Structure: optimized geometry

a b c (Å): 3.621 9.342 5.621
angles (deg): 90.00 90.00 90.00
Fractional coordinates of all 12 atoms:
Si (0.000, 0.223, 0.000)
Si (0.000, 0.777, 0.500)
Ge (0.000, 0.437, 0.513)
Ge (0.000, 0.563, 0.013)
Ge (0.500, 0.123, 0.353)
Ge (0.500, 0.877, 0.853)
Mo (0.500, 0.392, 0.190)
Mo (0.500, 0.608, 0.690)
Pt (0.000, 0.037, 0.691)
Pt (0.000, 0.963, 0.191)
Pt (0.500, 0.288, 0.705)
Pt (0.500, 0.712, 0.205)

Results
As for the calculated density: 11.52 g/cm³. Its symmetry is Pmc2_1.

Calculated energy in order - -67.42 -80.85 -80.64 -83.33 -83.37 -80.72 eV/cell